Here is a crystal of Ta2BeSi relaxed with PBEsol from the Alexandria database. Energies are from meta-GGA SCAN.

The structure in CIF format:
```
data_Ta2BeSi
_chemical_formula_sum 'Ta2 Be1 Si1'
_symmetry_space_group_name_H-M 'P 1'
_symmetry_Int_Tables_number 1
_cell_length_a 2.824
_cell_length_b 4.592
_cell_length_c 4.952
_cell_angle_alpha 99.02
_cell_angle_beta 90.00
_cell_angle_gamma 107.91
loop_
_symmetry_equiv_pos_as_xyz
'x,y,z'
loop_
_atom_site_label
_atom_site_type_symbol
_atom_site_fract_x
_atom_site_fract_y
_atom_site_fract_z
Ta1 Ta 0.248 0.496 0.255
Ta2 Ta 0.752 0.504 0.745
Si1 Si 0.500 0.000 0.000
Be1 Be 0.000 0.000 0.500
```

Values from the calculation:
space-group type = No. 12
excess energy over the best structure of this formula in the dataset = 658 meV/atom
E_form (uncorrected) = 13.18 kJ/mol of atoms